Entry 1:
Material: LiFe2
Method: DFT, PBE-GGA
State: optimized geometry

Lattice parameters (Å, degrees): 4.074 4.074 4.868 90.00 90.00 120.00
Fractional coordinates of all 6 atoms:
Li 0.333 0.667 0.250
Li 0.667 0.333 0.750
Fe 0.000 0.000 0.000
Fe 0.000 0.000 0.500
Fe 0.333 0.667 0.750
Fe 0.667 0.333 0.250

## Properties
The calculation puts the total energy at -35.7 eV for the cell shown. Its space group is P6_3/mmc, No. 194.


Entry 2:
Material: LiFe3
Method: DFT, PBE-GGA
State: optimized geometry

Lattice parameters (Å, degrees): 2.444 2.444 7.829 90.00 90.00 90.00
Fractional coordinates of all 4 atoms:
Li 0.000 0.000 0.000
Fe 0.000 0.000 0.500
Fe 0.500 0.500 0.271
Fe 0.500 0.500 0.729

## Properties
The calculation puts the total energy at -26.3 eV for the cell shown. Its space group is P4/mmm, No. 123.


Entry 3:
Material: Li7Fe
Method: DFT, PBE-GGA
State: optimized geometry

Lattice parameters (Å, degrees): 5.801 5.801 5.801 60.00 60.00 60.00
Fractional coordinates of all 8 atoms:
Li 0.000 0.000 0.000
Li 0.000 0.000 0.500
Li 0.000 0.500 0.000
Li 0.000 0.500 0.500
Li 0.500 0.000 0.000
Li 0.500 0.000 0.500
Li 0.500 0.500 0.000
Fe 0.500 0.500 0.500

## Properties
The calculation puts the total energy at -20.0 eV for the cell shown. Its space group is Fm-3m, No. 225.


no.,DFT formation energy (eV/atom)
1,0.329
2,0.250
3,0.234